(1)
Here is a geometry-optimized SmZrW4 structure from Alexandria via LeMat-Bulk. Energies are from PBE.

Output
final energy: -64.5 eV per cell
formation energy: 0.099 eV per atom
mass density: 13.75 Mg/m³

Unit cell a=5.505 b=5.505 c=5.505 alpha=60.00 beta=60.00 gamma=60.00
Positions (direct):
Zr 0.000 0.000 0.000
Sm 0.250 0.250 0.250
W 0.625 0.625 0.125
W 0.625 0.125 0.625
W 0.625 0.625 0.625
W 0.125 0.625 0.625



(2)
Here is a geometry-optimized Ni2AgSb structure from Alexandria via LeMat-Bulk. Energies are from PBE.

Output
final energy: -18.3 eV per cell
E_form (uncorrected): 0.3 eV/f.u.
mass density: 9.53 Mg/m³

Unit cell a=3.436 b=4.194 c=4.194 alpha=90.00 beta=90.00 gamma=90.00
Positions (direct):
Sb 0.500 0.000 0.000
Ag 0.500 0.500 0.500
Ni 0.000 0.000 0.500
Ni 0.000 0.500 0.000



(3)
Here is a geometry-optimized Na2LiSi structure from Alexandria via LeMat-Bulk. Energies are from PBE.

Output
final energy: -17.7 eV per cell
E_form (uncorrected): 1.1 eV/f.u.
mass density: 1.45 Mg/m³

Unit cell a=4.184 b=4.184 c=10.983 alpha=79.02 beta=79.02 gamma=90.00
Positions (direct):
Na 0.638 0.125 0.250
Na 0.112 0.625 0.250
Na 0.375 0.362 0.750
Na 0.875 0.888 0.750
Si 0.000 0.000 0.000
Si 0.750 0.250 0.500
Li 0.500 0.500 0.000
Li 0.250 0.750 0.500



(4)
Here is a geometry-optimized TbSm2Ho structure from Alexandria via LeMat-Bulk. Energies are from PBE.

Output
final energy: -18.6 eV per cell
formation energy: 0.012 eV per atom
offset from the most stable computed form: 0.0 kJ/mol of atoms
mass density: 7.94 Mg/m³

Unit cell a=3.606 b=3.606 c=11.786 alpha=81.20 beta=81.20 gamma=60.00
Positions (direct):
Tb 0.667 0.667 0.999
Sm 0.084 0.084 0.749
Sm 0.249 0.249 0.252
Ho 0.500 0.500 0.500



(5)
Here is a geometry-optimized MnP2Pb structure from Alexandria via LeMat-Bulk. Energies are from PBE.

Output
final energy: -23.7 eV per cell
formation energy: 0.009 eV per atom
mass density: 7.11 Mg/m³

Unit cell a=3.972 b=3.972 c=6.530 alpha=83.29 beta=83.29 gamma=47.75
Site moments in Bohr magnetons follow the coordinates.
Positions (direct):
Mn 0.750 0.750 0.750  2.07
P 0.032 0.032 0.886  -0.04
P 0.468 0.468 0.614  -0.04
Pb 0.250 0.250 0.250  -0.02



(6)
Here is a geometry-optimized BaIn12Sn4 structure from Alexandria via LeMat-Bulk. Energies are from PBE.

Output
final energy: -50.9 eV per cell
formation energy: -0.006 eV per atom
mass density: 6.17 Mg/m³

Unit cell a=8.863 b=8.863 c=8.863 alpha=109.47 beta=109.47 gamma=109.47
Positions (direct):
Ba 0.000 0.000 0.000
In 0.854 0.356 0.210
In 0.356 0.501 0.146
In 0.790 0.146 0.644
In 0.356 0.210 0.854
In 0.210 0.854 0.356
In 0.644 0.499 0.854
In 0.501 0.146 0.356
In 0.499 0.854 0.644
In 0.644 0.790 0.146
In 0.854 0.644 0.499
In 0.146 0.356 0.501
In 0.146 0.644 0.790
Sn 0.000 0.500 0.000
Sn 0.500 0.000 0.000
Sn 0.500 0.500 0.500
Sn 0.000 0.000 0.500